(1)
Density functional theory data (PBE-GGA) for a geometry-optimized NaAl2GaSe structure.

abc: 4.9065 4.9065 5.5103
angles: 90.00 90.00 90.00
With the nearest neighbours (Å) after each atom.
Space group P4/mmm (No. 123)
One atom of each set of equivalent atoms:
Na  0.0000  0.0000  0.0000 x1  4 Se 3.47, 8 Al 3.69
Al  0.0000  0.5000  0.5000 x2  2 Ga 2.45
Ga  0.5000  0.5000  0.5000 x1  4 Al 2.45
Se  0.5000  0.5000  0.0000 x1  2 Ga 2.76

**DOS(E_F)**: 2.2 states/eV/cell
**Electronic total energy**: -2.8814 eV per atom
**Total magnetic moment**: 0.0 μB per formula unit
**Raw formation energy**: 0.182 eV per atom

---

(2)
Density functional theory data (PBE-GGA) for a geometry-optimized ZnPd2CSe structure.

abc: 4.3501 4.3501 3.9379
angles: 90.00 90.00 90.00
With the nearest neighbours (Å) after each atom.
Space group P4/mmm (No. 123)
One atom of each set of equivalent atoms:
Zn  0.0000  0.0000  0.0000 x1  2 C 1.97
Pd  0.0000  0.5000  0.5000 x2  2 C 2.18
C  0.0000  0.0000  0.5000 x1  2 Zn 1.97, 4 Pd 2.18
Se  0.5000  0.5000  0.0000 x1  8 Pd 2.93, 4 Zn 3.08

**DOS(E_F)**: 3.2 states/eV/cell
**Electronic total energy**: -4.4902 eV per atom
**Total magnetic moment**: 0.0 μB per formula unit
**Raw formation energy**: 0.383 eV per atom